Ba4AgAsI2 | PBE | relaxed

Lattice parameters (Å, degrees): 8.5033 4.8302 8.8769 90.00 107.14 90.00
Sites, in units of the cell vectors:
Ba (0.2270, 0.0000, 0.2061)
Ba (0.2500, 0.5000, 0.7822)
Ba (0.7500, 0.5000, 0.2178)
Ba (0.7730, 0.0000, 0.7939)
Ag (0.5000, 0.0000, 0.0000)
As (0.0000, 0.5000, 0.0000)
I (0.0000, 0.0000, 0.5000)
I (0.5000, 0.5000, 0.5000)

Calculated values
Symmetry: P2/m, No. 10
Uncorrected formation energy: -839 kJ/mol of formula units

---

BaIn2AgAs | PBE | relaxed

Lattice parameters (Å, degrees): 5.3066 5.3066 5.5451 90.00 90.00 90.00
Sites, in units of the cell vectors:
Ba (0.0000, 0.0000, 0.0000)
In (0.0000, 0.5000, 0.5000)
In (0.5000, 0.0000, 0.5000)
Ag (0.5000, 0.5000, 0.5000)
As (0.5000, 0.5000, 0.0000)

Calculated values
Formation enthalpy at 0 K: -9.8 kJ per mole of atoms
Symmetry: P4/mmm, No. 123

---

KBa2AgAs | PBE | relaxed

Lattice parameters (Å, degrees): 6.5050 6.5050 5.2823 90.00 90.00 90.00
Sites, in units of the cell vectors:
K (0.0000, 0.0000, 0.0000)
Ba (0.0000, 0.5000, 0.5000)
Ba (0.5000, 0.0000, 0.5000)
Ag (0.5000, 0.5000, 0.0000)
As (0.5000, 0.5000, 0.5000)

Calculated values
Formation enthalpy at 0 K: -26.1 kJ per mole of atoms
Symmetry: P4/mmm, No. 123

---

Ba2LiAgAs | PBE | relaxed

Lattice parameters (Å, degrees): 6.3960 6.3960 4.7663 90.00 90.00 90.00
Sites, in units of the cell vectors:
Ba (0.0000, 0.5000, 0.0000)
Ba (0.5000, 0.0000, 0.0000)
Li (0.0000, 0.0000, 0.5000)
Ag (0.5000, 0.5000, 0.5000)
As (0.0000, 0.0000, 0.0000)

Calculated values
Formation enthalpy at 0 K: -45.6 kJ per mole of atoms
Symmetry: P4/mmm, No. 123

---

Ba2Li3AgAs4 | PBE | relaxed

Lattice parameters (Å, degrees): 4.5000 4.5000 11.0478 90.00 90.00 90.00
Sites, in units of the cell vectors:
Ba (0.0000, 0.5000, 0.2505)
Ba (0.5000, 0.0000, 0.7495)
Li (0.0000, 0.0000, 0.0000)
Li (0.0000, 0.5000, 0.6262)
Li (0.5000, 0.0000, 0.3738)
Ag (0.5000, 0.5000, 0.0000)
As (0.0000, 0.0000, 0.5000)
As (0.0000, 0.5000, 0.8634)
As (0.5000, 0.0000, 0.1366)
As (0.5000, 0.5000, 0.5000)

Calculated values
Formation enthalpy at 0 K: -71.6 kJ per mole of atoms
Symmetry: P-4m2, No. 115

---

Ba2LiAg3As4 | PBE | relaxed

Lattice parameters (Å, degrees): 4.6598 4.6598 10.9092 90.00 90.00 90.00
Sites, in units of the cell vectors:
Ba (0.0000, 0.5000, 0.2466)
Ba (0.5000, 0.0000, 0.7534)
Li (0.5000, 0.5000, 0.0000)
Ag (0.0000, 0.0000, 0.0000)
Ag (0.0000, 0.5000, 0.6261)
Ag (0.5000, 0.0000, 0.3739)
As (0.0000, 0.0000, 0.5000)
As (0.0000, 0.5000, 0.8695)
As (0.5000, 0.0000, 0.1305)
As (0.5000, 0.5000, 0.5000)

Calculated values
Formation enthalpy at 0 K: -54.7 kJ per mole of atoms
Symmetry: P-4m2, No. 115

---

BaLiAgAs2 | PBE | relaxed

Lattice parameters (Å, degrees): 6.4057 6.4057 6.4057 137.98 137.98 60.93
Sites, in units of the cell vectors:
Ba (0.0000, 0.0000, 0.0000)
Li (0.7500, 0.2500, 0.5000)
Ag (0.2500, 0.7500, 0.5000)
As (0.3821, 0.3821, 0.0000)
As (0.6179, 0.6179, 0.0000)

Calculated values
Formation enthalpy at 0 K: -67.1 kJ per mole of atoms
Symmetry: I-4m2, No. 119

---

Ba2MgAg3As4 | PBE | relaxed

Lattice parameters (Å, degrees): 4.6495 4.6495 11.2257 90.00 90.00 90.00
Sites, in units of the cell vectors:
Ba (0.0000, 0.5000, 0.2408)
Ba (0.5000, 0.0000, 0.7592)
Mg (0.0000, 0.0000, 0.5000)
Ag (0.0000, 0.5000, 0.8751)
Ag (0.5000, 0.0000, 0.1249)
Ag (0.5000, 0.5000, 0.5000)
As (0.0000, 0.0000, 0.0000)
As (0.0000, 0.5000, 0.6364)
As (0.5000, 0.0000, 0.3636)
As (0.5000, 0.5000, 0.0000)

Calculated values
Formation enthalpy at 0 K: -56.8 kJ per mole of atoms
Symmetry: P-4m2, No. 115